Record 1
Entry from the Open Quantum Materials Database: a relaxed CsLuTa crystal (GGA-PBE).

final energy: -3.861 eV/atom
symmetry: F-43m
polymorph energy (0 for the lowest one): 0 meV per atom

```
CsLuTa
1.0
0.0000 3.7773 3.7773
3.7773 0.0000 3.7773
3.7773 3.7773 0.0000
Cs Lu Ta
1 1 1
direct
0.0000 0.0000 0.0000
0.5000 0.5000 0.5000
0.2500 0.2500 0.2500
```

---

Record 2
Entry from the Open Quantum Materials Database: a relaxed Cs2RbCu3As2 crystal (GGA-PBE).

final energy: -3.152 eV/atom
symmetry: R-3m

```
Cs2RbCu3As2
1.0
3.1304 1.8073 7.0163
-3.1304 1.8073 7.0163
0.0000 -3.6146 7.0163
Cs Rb Cu As
2 1 3 2
direct
0.0898 0.0898 0.0898
0.9102 0.9102 0.9102
0.5000 0.5000 0.5000
0.0000 0.5000 0.5000
0.5000 0.0000 0.5000
0.5000 0.5000 0.0000
0.2611 0.2611 0.2611
0.7389 0.7389 0.7389
```

---

Record 3
Entry from the Open Quantum Materials Database: a relaxed NaSrAu2 crystal (GGA-PBE).

final energy: -2.956 eV/atom
symmetry: Immm
polymorph energy (0 for the lowest one): 0 meV per atom

```
NaSrAu2
1.0
-2.6230 3.7113 7.8650
2.6230 -3.7113 7.8650
2.6230 3.7113 -7.8650
Na Sr Au
3 3 6
direct
0.0000 0.0000 0.0000
0.3331 0.3331 0.0000
0.6669 0.6669 0.0000
0.1666 0.6666 0.5000
0.5000 0.0000 0.5000
0.8334 0.3334 0.5000
0.0835 0.8334 0.2501
0.2504 0.5000 0.7504
0.4167 0.1666 0.2501
0.5833 0.8334 0.7499
0.7496 0.5000 0.2496
0.9165 0.1666 0.7499
```

---

Record 4
Entry from the Open Quantum Materials Database: a relaxed Cs3SmI6 crystal (GGA-PBE).

final energy: -3.124 eV/atom
symmetry: Fm-3m
polymorph energy (0 for the lowest one): 55 meV per atom

```
Cs3SmI6
1.0
0.0000 6.7117 6.7117
6.7117 0.0000 6.7117
6.7117 6.7117 0.0000
Cs Sm I
3 1 6
direct
0.0000 0.0000 0.0000
0.2500 0.2500 0.2500
0.7500 0.7500 0.7500
0.5000 0.5000 0.5000
0.2707 0.2707 0.7293
0.2707 0.7293 0.2707
0.2707 0.7293 0.7293
0.7293 0.2707 0.2707
0.7293 0.2707 0.7293
0.7293 0.7293 0.2707
```